# SrLiAcPb (PBE, optimized geometry)
data_SrLiAcPb
_cell_length_a 8.200
_cell_length_b 8.200
_cell_length_c 8.200
_cell_angle_alpha 90.00
_cell_angle_beta 90.00
_cell_angle_gamma 90.00
_space_group_name_H-M_alt 'F -4 3 m'
_space_group_IT_number 216
_space_group_name_Hall 'F -4 2 3'
loop_
_atom_site_label
_atom_site_type_symbol
_atom_site_fract_x
_atom_site_fract_y
_atom_site_fract_z
Sr1 Sr 0.000 0.000 0.000
Li1 Li 0.250 0.250 0.250
Ac1 Ac 0.000 0.000 0.500
Pb1 Pb 0.250 0.250 0.750
# Calculated formation energy (eV per atom): -0.31
# Crystal system: cubic

# PuPdPt (PBE, optimized geometry)
data_PuPdPt
_cell_length_a 5.044
_cell_length_b 8.084
_cell_length_c 5.745
_cell_angle_alpha 90.00
_cell_angle_beta 90.00
_cell_angle_gamma 90.00
_space_group_name_H-M_alt 'C m c m'
_space_group_IT_number 63
_space_group_name_Hall '-C 2c 2'
loop_
_atom_site_label
_atom_site_type_symbol
_atom_site_fract_x
_atom_site_fract_y
_atom_site_fract_z
Pu1 Pu 0.000 0.158 0.250
Pd1 Pd 0.000 0.189 0.750
Pt1 Pt 0.000 0.500 0.000
# Distance to the lowest polymorph of the same formula (meV/atom): 149
# Calculated formation energy (eV per atom): -0.56
# Crystal system: orthorhombic

# NiAuS2 (PBE, optimized geometry)
data_NiAuS2
_cell_length_a 3.582
_cell_length_b 3.582
_cell_length_c 5.031
_cell_angle_alpha 90.00
_cell_angle_beta 90.00
_cell_angle_gamma 90.00
_space_group_name_H-M_alt 'P 4/m m m'
_space_group_IT_number 123
_space_group_name_Hall '-P 4 2'
loop_
_atom_site_label
_atom_site_type_symbol
_atom_site_fract_x
_atom_site_fract_y
_atom_site_fract_z
Ni1 Ni 0.000 0.000 0.000
Au1 Au 0.500 0.500 0.500
S1 S 0.000 0.000 0.500
S2 S 0.500 0.500 0.000
# E_form (uncorrected) (meV/atom): 128
# Crystal system: tetragonal

# GaTeI2N (PBE, optimized geometry)
data_GaTeI2N
_cell_length_a 6.006
_cell_length_b 6.006
_cell_length_c 3.612
_cell_angle_alpha 90.00
_cell_angle_beta 90.00
_cell_angle_gamma 90.00
_space_group_name_H-M_alt 'P 4/m m m'
_space_group_IT_number 123
_space_group_name_Hall '-P 4 2'
loop_
_atom_site_label
_atom_site_type_symbol
_atom_site_fract_x
_atom_site_fract_y
_atom_site_fract_z
Ga1 Ga 0.000 0.000 0.000
Te1 Te 0.500 0.500 0.500
I1 I 0.000 0.500 0.000
N1 N 0.000 0.000 0.500
# E_form (uncorrected) (meV/atom): 603
# Distance to the lowest polymorph of the same formula (meV/atom): 111
# Crystal system: tetragonal

| no. | magnetic moment (μB/atom) | D(E_F) (states/eV/atom) | volume (Å³/f.u.) |
| --- | --- | --- | --- |
| 1 | 0.0000 | 0.493 | 137.8 |
| 2 | 1.7088 | 3.911 | 58.6 |
| 3 | 0.0004 | 0.746 | 64.6 |
| 4 | 0.1297 | 0.988 | 130.3 |